[1]
First-principles (PBE-GGA) data for Nb2HIrRh after structural relaxation, as listed in Alexandria via LeMat-Bulk.

Computed properties:
- E_tot (eV/atom) = -8.314
- magnetic moment (Bohr magnetons per cell) = 0.00
- symmetry = No. 123
- offset from the most stable computed form (meV/atom) = 37

Cell lengths 4.101, 4.101, 3.954 Å; angles 90.00, 90.00, 90.00 degrees
Positions (direct):
Rh: 0.500 0.500 0.500
Nb: 0.500 0.000 0.000
Nb: 0.000 0.500 0.000
Ir: 0.000 0.000 0.500
H: 0.000 0.000 0.000

[2]
First-principles (PBE-GGA) data for Sr2PmPdO6 after structural relaxation, as listed in Alexandria via LeMat-Bulk.

Computed properties:
- E_tot (eV/atom) = -6.383
- formation energy (no corrections) (eV/atom) = -2.077
- magnetic moment (Bohr magnetons per cell) = 2.05
- symmetry = No. 14

Cell lengths 5.883, 5.980, 8.349 Å; angles 90.00, 90.81, 90.00 degrees
Positions (direct):
O: 0.728 0.304 0.955
O: 0.587 0.027 0.268
O: 0.413 0.973 0.732
O: 0.810 0.774 0.952
O: 0.772 0.804 0.545
O: 0.087 0.473 0.768
O: 0.272 0.696 0.045
O: 0.228 0.196 0.455
O: 0.310 0.726 0.452
O: 0.190 0.226 0.048
O: 0.690 0.274 0.548
O: 0.913 0.527 0.232
Pd: 0.500 0.000 0.500
Pd: 0.000 0.500 0.000
Pm: 0.500 0.000 0.000
Pm: 0.000 0.500 0.500
Sr: 0.513 0.544 0.749
Sr: 0.487 0.456 0.251
Sr: 0.013 0.956 0.249
Sr: 0.987 0.044 0.751

[3]
First-principles (PBE-GGA) data for InSiB after structural relaxation, as listed in Alexandria via LeMat-Bulk.

Computed properties:
- E_tot (eV/atom) = -4.679
- formation energy (no corrections) (eV/atom) = 0.267
- magnetic moment (Bohr magnetons per cell) = 0.00
- symmetry = No. 2
- offset from the most stable computed form (meV/atom) = 27

Cell lengths 3.456, 5.901, 5.989 Å; angles 68.29, 89.89, 73.79 degrees
Positions (direct):
B: 0.496 0.509 0.638
B: 0.504 0.491 0.362
Si: 0.980 0.542 0.792
Si: 0.020 0.458 0.208
In: 0.276 0.951 0.253
In: 0.724 0.049 0.747

[4]
First-principles (PBE-GGA) data for Na4TbSc3Se8 after structural relaxation, as listed in Alexandria via LeMat-Bulk.

Computed properties:
- E_tot (eV/atom) = -5.157
- formation energy (no corrections) (eV/atom) = -1.609
- magnetic moment (Bohr magnetons per cell) = 0.00
- symmetry = No. 166

Cell lengths 8.000, 8.368, 8.000 Å; angles 118.58, 120.00, 90.00 degrees
Positions (direct):
Tb: 0.000 0.500 0.000
Sc: 0.500 0.500 0.000
Sc: 0.000 0.500 0.500
Sc: 0.500 0.500 0.500
Se: 0.753 0.277 0.506
Se: 0.739 0.717 0.478
Se: 0.729 0.723 0.976
Se: 0.271 0.277 0.024
Se: 0.247 0.723 0.976
Se: 0.753 0.277 0.024
Se: 0.261 0.283 0.522
Se: 0.247 0.723 0.494
Na: 0.500 0.000 0.000
Na: 0.500 0.000 0.500
Na: 0.000 0.000 0.000
Na: 0.000 0.000 0.500